Below is a relaxed CuSbBr2 crystal, with properties calculated at the GGA-PBE level.

crystal system = tetragonal
formation energy from raw total energies = 1.39 eV/f.u.

```
CuSbBr2
1.0
-6.770 3.130 1.923
-3.827 1.491 6.517
6.523 0.258 -4.088
Sb Cu Br
1 1 2
direct
0.750 0.250 0.500
0.500 0.500 0.000
0.250 0.750 0.500
0.000 0.000 0.000
```